# 1
This record from Alexandria via LeMat-Bulk describes a PBEsol-optimized structure of LiPPt2. The functional is meta-GGA SCAN.

Calculated values
Space group ... Pmmm (47)
Crystal system ... orthorhombic
Energy of formation ... -0.515 eV/atom

Cell and atoms, written as POSCAR:
```
LiPPt2
1.0
2.768 0.000 0.000
0.000 3.848 0.000
0.000 0.000 5.371
Li P Pt
1 1 2
direct
0.500 0.500 0.500
0.000 0.500 0.000
0.000 0.000 0.256
0.000 0.000 0.744
```


# 2
This record from Alexandria via LeMat-Bulk describes a PBEsol-optimized structure of LiP2Pt. The functional is meta-GGA SCAN.

Calculated values
Space group ... P4/mmm (123)
Crystal system ... tetragonal
Energy of formation ... -0.179 eV/atom

Cell and atoms, written as POSCAR:
```
LiP2Pt
1.0
-1.417 2.738 -1.821
-2.486 -2.425 -1.712
-2.544 0.587 2.864
P Pt Li
2 1 1
direct
0.000 0.000 0.000
0.000 0.500 0.500
0.500 0.500 0.000
0.500 0.000 0.500
```


# 3
This record from Alexandria via LeMat-Bulk describes a PBEsol-optimized structure of RbLi3P. The functional is meta-GGA SCAN.

Calculated values
Space group ... Pm-3m (221)
Crystal system ... cubic
Energy of formation ... -0.374 eV/atom

Cell and atoms, written as POSCAR:
```
RbLi3P
1.0
-2.884 -2.717 -2.880
1.359 -4.026 2.437
-3.719 0.636 3.123
P Rb Li
1 1 3
direct
0.000 0.000 0.000
0.500 0.500 0.500
0.000 0.500 0.000
0.000 0.000 0.500
0.500 0.000 0.000
```


# 4
This record from Alexandria via LeMat-Bulk describes a PBEsol-optimized structure of LiReP2S. The functional is meta-GGA SCAN.

Calculated values
Space group ... P4/mmm (123)
Crystal system ... tetragonal
Total energy ... -102.6 eV/f.u.

Cell and atoms, written as POSCAR:
```
LiReP2S
1.0
-1.272 -4.314 -0.167
2.147 -0.783 3.878
-4.258 1.155 2.591
Re S Li P
1 1 1 2
direct
0.000 0.000 0.000
0.000 0.000 0.500
0.500 0.500 0.500
0.000 0.500 0.000
0.500 0.000 0.000
```


# 5
This record from Alexandria via LeMat-Bulk describes a PBEsol-optimized structure of Li2PRh2. The functional is meta-GGA SCAN.

Calculated values
Space group ... P4/mbm (127)
Crystal system ... tetragonal
Energy of formation ... -0.677 eV/atom

Cell and atoms, written as POSCAR:
```
Li2PRh2
1.0
-0.046 -3.141 -2.861
4.034 -2.862 3.078
-4.202 -2.683 3.013
P Rh Li
2 4 4
direct
0.000 0.000 0.000
0.000 0.500 0.500
0.000 0.344 0.844
0.000 0.844 0.656
0.000 0.656 0.156
0.000 0.156 0.344
0.500 0.161 0.661
0.500 0.661 0.839
0.500 0.839 0.339
0.500 0.339 0.161
```


# 6
This record from Alexandria via LeMat-Bulk describes a PBEsol-optimized structure of LiPRh2. The functional is meta-GGA SCAN.

Calculated values
Space group ... Amm2 (38)
Crystal system ... orthorhombic
Energy of formation ... -0.499 eV/atom

Cell and atoms, written as POSCAR:
```
LiPRh2
1.0
2.784 0.000 -0.023
0.000 4.234 0.000
-1.355 0.000 4.370
Li P Rh
1 1 2
direct
0.069 0.000 0.513
0.699 0.500 0.773
0.803 0.000 0.980
0.429 0.500 0.233
```


Magnetic moment / μB per formula unit: 0.0 0.0 0.0 0.0 0.0 0.0